NaSrIn2Au2, relaxed, DFT PBE; E = -18.0 eV per cell; theoretical density = 8.1 g cm⁻³; size of the total moment = 0.0 μB/cell; DFT formation energy = -0.49 eV per atom; crystal system = trigonal
1.0
-0.6298 3.5128 3.3711
-1.2905 -4.6283 1.0072
6.6200 -1.2852 2.5761
Na Sr In Au
1 1 2 2
Cartesian
3.3100 -0.6426 1.2881 Na
0.0000 0.0000 0.0000 Sr
3.7517 -0.0943 4.3738 In
0.9480 -2.3064 2.5805 In
0.9946 0.4410 3.3009 Au
3.7052 -2.8417 3.6534 Au

***

PrPt3, relaxed, DFT PBE; E = -52.1 eV per cell; theoretical density = 15.0 g cm⁻³; size of the total moment = 0.0 μB/cell; DFT formation energy = -0.79 eV per atom; crystal system = orthorhombic
1.0
4.3771 0.0000 0.0000
0.0000 5.3981 0.0000
0.0000 0.0000 6.8223
Pr Pt
2 6
Cartesian
0.0000 1.3495 4.6761 Pr
0.0000 4.0486 2.1462 Pr
0.0000 4.0486 5.9282 Pt
0.0000 1.3495 0.8941 Pt
2.1885 0.0000 0.0000 Pt
2.1885 2.6990 0.0000 Pt
2.1885 4.0486 4.3118 Pt
2.1885 1.3495 2.5105 Pt

***

KRb3Cd2Cl9, relaxed, DFT PBE; formation energy without anion corrections = -1423 meV/atom; E = -43.8 eV per cell; theoretical density = 2.8 g cm⁻³; size of the total moment = 0.9 μB/cell; crystal system = trigonal
1.0
-6.7492 2.4012 1.5911
0.9280 -6.6646 -2.9275
0.8241 -4.2147 9.8560
K Rb Cd Cl
1 3 2 9
Cartesian
0.4120 -2.1073 4.9280 K
-1.0151 -6.7929 5.9455 Rb
0.0000 0.0000 0.0000 Rb
-3.9820 -1.6852 2.5741 Rb
-1.5020 -4.3029 0.1225 Cd
-3.4951 -4.1752 8.3971 Cd
-4.9035 -2.0890 7.8762 Cl
-4.4318 -5.4768 6.3881 Cl
-1.4727 -3.3096 7.0674 Cl
-3.5244 -5.1685 1.4522 Cl
-0.5653 -3.0013 2.1315 Cl
-0.0935 -6.3891 0.6434 Cl
-3.3746 1.2006 0.7956 Cl
0.4640 -3.3323 -1.4638 Cl
-2.9106 -2.1317 -0.6682 Cl